Entry from the Alexandria database: an optimized crystal structure of Pm4NiPt2 (PBE).

Calculated values
formation energy = -0.7160 eV per atom
D(E_F) = 4.09 states/eV/f.u.
excess energy over the best structure of this formula in the dataset = 0 meV per atom
crystal system = monoclinic
space group = C2/m

Lattice parameters (Å, degrees): 13.9039 4.3752 7.1570 90.00 119.31 90.00
Closest atoms and distances in Å follow each position.
Fractional positions:
Pm (0.1034, 0.0000, 0.3062)  3 Pt 2.92-2.99, 2 Ni 2.93
Pm (0.1454, 0.5000, 0.7825)  3 Pt 2.87-2.92, 1 Ni 3.10
Pm (0.3546, 0.0000, 0.2175)  3 Pt 2.87-2.92, 1 Ni 3.10
Pm (0.3966, 0.5000, 0.6938)  3 Pt 2.92-2.99, 2 Ni 2.93
Pm (0.6034, 0.5000, 0.3062)  3 Pt 2.92-2.99, 2 Ni 2.93
Pm (0.6454, 0.0000, 0.7825)  3 Pt 2.87-2.92, 1 Ni 3.10
Pm (0.8546, 0.5000, 0.2175)  3 Pt 2.87-2.92, 1 Ni 3.10
Pm (0.8966, 0.0000, 0.6938)  3 Pt 2.92-2.99, 2 Ni 2.93
Ni (0.0000, 0.5000, 0.0000)  2 Pt 2.68, 4 Pm 2.93
Ni (0.5000, 0.0000, 0.0000)  2 Pt 2.68, 4 Pm 2.93
Pt (0.2202, 0.5000, 0.2344)  1 Ni 2.68, 6 Pm 2.87-2.99
Pt (0.2798, 0.0000, 0.7656)  1 Ni 2.68, 6 Pm 2.87-2.99
Pt (0.7202, 0.0000, 0.2344)  1 Ni 2.68, 6 Pm 2.87-2.99
Pt (0.7798, 0.5000, 0.7656)  1 Ni 2.68, 6 Pm 2.87-2.99